A geometry-optimized GaAgHgPb2 structure, computed with PBE.

Cell and atoms, written as POSCAR:
```
GaAgHgPb2
1.0
5.808 0.000 0.000
0.000 5.808 0.000
0.000 0.000 5.023
Ga Ag Hg Pb
1 1 1 2
direct
0.000 0.000 0.000
0.500 0.500 0.000
0.000 0.000 0.500
0.000 0.500 0.500
0.500 0.000 0.500
```

* energy of formation from the pure elements: 0.570 eV/atom
* total moment: 0.00 Bohr magnetons per cell
* raw total energy: -2.149 eV/atom


A geometry-optimized Cs2BrCl structure, computed with PBE.

Cell and atoms, written as POSCAR:
```
Cs2BrCl
1.0
4.293 0.000 0.000
0.000 4.293 0.000
0.000 0.000 8.640
Cs Br Cl
2 1 1
direct
0.000 0.000 0.241
0.000 0.000 0.759
0.500 0.500 0.500
0.500 0.500 0.000
```

* E_form (uncorrected): -1.831 eV/atom
* total moment: 0.00 Bohr magnetons per cell
* distance to the lowest polymorph of the same formula: 42 meV/atom
* raw total energy: -3.138 eV/atom


A geometry-optimized SrHf3I structure, computed with PBE.

Cell and atoms, written as POSCAR:
```
SrHf3I
1.0
5.351 0.000 0.000
0.000 5.351 0.000
0.000 0.000 5.351
Sr Hf I
1 3 1
direct
0.000 0.000 0.000
0.000 0.500 0.500
0.500 0.000 0.500
0.500 0.500 0.000
0.500 0.500 0.500
```

* E_form (uncorrected): 0.923 eV/atom
* total moment: 0.00 Bohr magnetons per cell
* distance to the lowest polymorph of the same formula: 0 meV/atom
* raw total energy: -5.695 eV/atom


A geometry-optimized FeH2I structure, computed with PBE.

Cell and atoms, written as POSCAR:
```
FeH2I
1.0
0.000 2.785 2.785
2.785 0.000 2.785
2.785 2.785 0.000
Fe H I
1 2 1
direct
0.000 0.000 0.000
0.250 0.250 0.250
0.750 0.750 0.750
0.500 0.500 0.500
```

* total moment: 0.00 Bohr magnetons per cell
* distance to the lowest polymorph of the same formula: 799 meV/atom
* raw total energy: -2.805 eV/atom


A geometry-optimized Li2MgZrCu structure, computed with PBE.

Cell and atoms, written as POSCAR:
```
Li2MgZrCu
1.0
5.183 0.000 0.000
0.000 5.183 0.000
0.000 0.000 4.873
Li Mg Zr Cu
2 1 1 1
direct
0.000 0.500 0.000
0.500 0.000 0.000
0.000 0.000 0.500
0.500 0.500 0.000
0.500 0.500 0.500
```

* energy of formation from the pure elements: 1.062 eV/atom
* total moment: 2.36 Bohr magnetons per cell
* raw total energy: -2.552 eV/atom


A geometry-optimized TbScHg structure, computed with PBE.

Cell and atoms, written as POSCAR:
```
TbScHg
1.0
-1.748 1.748 6.263
1.748 -1.748 6.263
1.748 1.748 -6.263
Tb Sc Hg
1 1 1
direct
0.000 0.000 0.000
0.312 0.312 0.000
0.672 0.672 0.000
```

* energy of formation from the pure elements: -0.277 eV/atom
* total moment: 1.03 Bohr magnetons per cell
* distance to the lowest polymorph of the same formula: 21 meV/atom
* raw total energy: -4.032 eV/atom